# GGA-PBE CeNd2Sm4, relaxed
data_CeNd2Sm4
_chemical_formula_sum 'Ce1 Nd2 Sm4'
_cell_length_a 3.640
_cell_length_b 3.640
_cell_length_c 20.659
_cell_angle_alpha 90.01
_cell_angle_beta 90.01
_cell_angle_gamma 60.01
_symmetry_space_group_name_H-M 'P 1'
_symmetry_Int_Tables_number 1
_symmetry_space_group_name_Hall 'P 1'
loop_
_atom_site_label
_atom_site_type_symbol
_atom_site_fract_x
_atom_site_fract_y
_atom_site_fract_z
_atom_site_occupancy
Ce1 Ce 0.000 0.000 0.000 1
Nd1 Nd 0.000 0.000 0.572 1
Nd2 Nd 0.002 0.002 0.284 1
Sm1 Sm 0.334 0.334 0.139 1
Sm2 Sm 0.334 0.334 0.858 1
Sm3 Sm 0.667 0.667 0.717 1
Sm4 Sm 0.668 0.668 0.427 1
# Calculated total energy   -34.03 eV for the cell shown
# Space-group type   Cm
# Density   7.215 g/cm³